MgBeNb2Hg | GGA-PBE | optimized geometry

Properties
The total magnetic moment comes out at 0.000 μB per atom. As for the formation energy: 8.99 eV per formula unit. Its calculated total energy is -16.77 eV for the cell shown.

Unit cell a=5.1256 b=5.1256 c=4.8306 alpha=90.00 beta=90.00 gamma=90.00
Closest atoms and distances in Å follow each position.
Space group P4/mmm (No. 123)
One atom of each set of equivalent atoms:
1 Mg 0.0000 0.0000 0.0000  2 Hg 2.42
2 Be 0.5000 0.5000 0.0000  8 Nb 3.52, 4 Mg 3.62
3 Nb 0.0000 0.5000 0.5000  2 Hg 2.56
4 Hg 0.0000 0.0000 0.5000  2 Mg 2.42, 4 Nb 2.56